# PmHfSc4 PBE-GGA relaxed
# DFT formation energy   87 meV per atom
# Magnetization   0.000 μB per atom
data_PmHfSc4
_space_group_name_H-M_alt 'I m m a'
_space_group_IT_number 74
_space_group_name_Hall '-I 2b 2'
_cell_length_a 5.1643
_cell_length_b 12.9352
_cell_length_c 9.0831
_cell_angle_alpha 90.00
_cell_angle_beta 90.00
_cell_angle_gamma 90.00
loop_
_atom_site_label
_atom_site_fract_x
_atom_site_fract_y
_atom_site_fract_z
_atom_site_occupancy
Pm1 0.0000 0.2500 0.1520 1
Hf1 0.0000 0.2500 0.8193 1
Sc1 0.0000 0.0033 0.8344 1
Sc2 0.0000 0.1264 0.5179 1